Density functional theory data (PBE-GGA) for a relaxed Ba2ErBi2 crystal.

abc: 9.120 9.120 9.120
angles: 126.74 73.67 133.08
Sites, in units of the cell vectors:
Ba (0.146, 0.168, 0.314)
Ba (0.354, 0.668, 0.022)
Ba (0.646, 0.332, 0.978)
Ba (0.854, 0.832, 0.686)
Er (0.250, 0.750, 0.500)
Er (0.750, 0.250, 0.500)
Bi (0.112, 0.732, 0.844)
Bi (0.388, 0.232, 0.620)
Bi (0.612, 0.768, 0.380)
Bi (0.888, 0.268, 0.156)

Its symmetry is Ibam (72). As for the crystal system: orthorhombic. As for the density of states at the Fermi level: 0.711 states/eV/atom. The formation energy is -760 meV/atom. The volume is 43.3 A^3/atom.